# 1
First-principles (PBE-GGA) data for AgCF2 after structural relaxation, as listed in Alexandria via LeMat-Bulk.

It has space group R-3m (No. 166, hexagonal axes), with a = 2.8717 Å, b = 2.8717 Å, c = 25.2088 Å, α = 90.00°, β = 90.00° and γ = 120.00°. The inequivalent atoms are Ag at (0.0000, 0.0000, 0.0000), C at (0.0000, 0.0000, 0.5000) and F at (0.0000, 0.0000, 0.1241).

The uncorrected formation energy is 612 meV per atom. For the polymorph energy (0 for the lowest one), the calculation gives 4.31 eV/f.u.

# 2
First-principles (PBE-GGA) data for TbTm2Au after structural relaxation, as listed in Alexandria via LeMat-Bulk.

It has space group R-3m (No. 166, hexagonal axes), with a = 3.6544 Å, b = 3.6544 Å, c = 29.6168 Å, α = 90.00°, β = 90.00° and γ = 120.00°. The inequivalent atoms are Tb at (0.0000, 0.0000, 0.0000), Tm at (0.0000, 0.0000, 0.2361) and Au at (0.0000, 0.0000, 0.5000).

Its formation energy is -0.290 eV/atom. For the polymorph energy (0 for the lowest one), the calculation gives 0.66 eV/f.u.

# 3
First-principles (PBE-GGA) data for RbBe2TlF6 after structural relaxation, as listed in Alexandria via LeMat-Bulk.

It has space group C2/c (No. 15), with a = 11.1402 Å, b = 10.0261 Å, c = 6.4411 Å, α = 90.00°, β = 103.78° and γ = 90.00°. The inequivalent atoms are Rb at (0.0000, 0.0981, 0.2500), Be at (0.2501, 0.1875, 0.6556), Tl at (0.0000, 0.3822, 0.7500), F at (0.1272, 0.1388, 0.6878), F at (0.1327, 0.3395, 0.1774) and F at (0.2366, 0.3478, 0.5885).

The uncorrected formation energy is -2893 meV per atom.

# 4
First-principles (PBE-GGA) data for Ho2Er4Tm3 after structural relaxation, as listed in Alexandria via LeMat-Bulk.

It has space group C2/c (No. 15), with a = 15.8399 Å, b = 11.4263 Å, c = 6.0647 Å, α = 90.00°, β = 95.73° and γ = 90.00°. The inequivalent atoms are Ho at (0.1204, 0.1432, 0.3207), Er at (0.0465, 0.3570, 0.0133), Er at (0.2136, 0.1425, 0.8467), Tm at (0.0000, 0.0965, 0.7500) and Tm at (0.1664, 0.4034, 0.5851).

Its formation energy is 0.103 eV/atom.

# 5
First-principles (PBE-GGA) data for As2Au2F after structural relaxation, as listed in Alexandria via LeMat-Bulk.

It has space group P4/mbm (No. 127), with a = 7.7770 Å, b = 7.7770 Å, c = 3.0494 Å, α = 90.00°, β = 90.00° and γ = 90.00°. The inequivalent atoms are As at (0.1421, 0.3579, 0.0000), Au at (0.1612, 0.6612, 0.5000) and F at (0.0000, 0.0000, 0.5000).

The uncorrected formation energy is -60 meV per atom. For the polymorph energy (0 for the lowest one), the calculation gives 0.00 eV/f.u.

# 6
First-principles (PBE-GGA) data for K2RuBr2O2 after structural relaxation, as listed in Alexandria via LeMat-Bulk.

It has space group C2/m (No. 12), with a = 12.4304 Å, b = 4.3418 Å, c = 7.6863 Å, α = 90.00°, β = 121.38° and γ = 90.00°. The inequivalent atoms are K at (0.1866, 0.0000, 0.2242), Ru at (0.0000, 0.0000, 0.5000), Br at (0.0505, 0.5000, 0.7981) and O at (0.1580, 0.0000, 0.5700).

The uncorrected formation energy is -1081 meV per atom.

# 7
First-principles (PBE-GGA) data for Na4Hg2Pb after structural relaxation, as listed in Alexandria via LeMat-Bulk.

It has space group I4/mmm (No. 139), with a = 6.0170 Å, b = 6.0170 Å, c = 15.1486 Å, α = 90.00°, β = 90.00° and γ = 90.00°. The inequivalent atoms are Na at (0.0000, 0.0000, 0.1994), Na at (0.0000, 0.5000, 0.0000), Hg at (0.0000, 0.0000, 0.3989) and Pb at (0.0000, 0.0000, 0.0000).

Its formation energy is -0.009 eV/atom. For the polymorph energy (0 for the lowest one), the calculation gives 1.10 eV/f.u.

# 8
First-principles (PBE-GGA) data for AlPb5 after structural relaxation, as listed in Alexandria via LeMat-Bulk.

It has space group Cmmm (No. 65), with a = 4.7616 Å, b = 15.2034 Å, c = 4.9306 Å, α = 90.00°, β = 90.00° and γ = 90.00°. The inequivalent atoms are Al at (0.0000, 0.0000, 0.0000), Pb at (0.0000, 0.1609, 0.5000), Pb at (0.0000, 0.3387, 0.0000) and Pb at (0.0000, 0.5000, 0.5000).

Its formation energy is 0.109 eV/atom. For the polymorph energy (0 for the lowest one), the calculation gives 0.03 eV/f.u.

# 9
First-principles (PBE-GGA) data for DyPuInSn after structural relaxation, as listed in Alexandria via LeMat-Bulk.

It has space group F-43m (No. 216), with a = 7.5461 Å, b = 7.5461 Å, c = 7.5461 Å, α = 90.00°, β = 90.00° and γ = 90.00°. The inequivalent atoms are Dy at (0.0000, 0.0000, 0.0000), Pu at (0.0000, 0.0000, 0.5000), In at (0.2500, 0.2500, 0.7500) and Sn at (0.2500, 0.2500, 0.2500).

Its formation energy is -0.353 eV/atom.

# 10
First-principles (PBE-GGA) data for PuTlCdGa after structural relaxation, as listed in Alexandria via LeMat-Bulk.

It has space group F-43m (No. 216), with a = 7.2711 Å, b = 7.2711 Å, c = 7.2711 Å, α = 90.00°, β = 90.00° and γ = 90.00°. The inequivalent atoms are Pu at (0.0000, 0.0000, 0.0000), Tl at (0.2500, 0.2500, 0.7500), Cd at (0.0000, 0.0000, 0.5000) and Ga at (0.2500, 0.2500, 0.2500).

Its formation energy is -0.063 eV/atom.

# 11
First-principles (PBE-GGA) data for MnGePCN after structural relaxation, as listed in Alexandria via LeMat-Bulk.

It has space group Cm (No. 8), with a = 7.8268 Å, b = 2.9419 Å, c = 6.0948 Å, α = 90.00°, β = 92.70° and γ = 90.00°. The inequivalent atoms are Mn at (0.0000, 0.0000, 0.0000), Ge at (0.0063, 0.0000, 0.3768), P at (0.2865, 0.0000, 0.9781), C at (0.4643, 0.0000, 0.7866) and N at (0.4760, 0.0000, 0.5638).

The uncorrected formation energy is 246 meV per atom. For the polymorph energy (0 for the lowest one), the calculation gives 0.76 eV/f.u.

# 12
First-principles (PBE-GGA) data for Cu3Sn2S6 after structural relaxation, as listed in Alexandria via LeMat-Bulk.

It has space group C2/c (No. 15), with a = 11.3487 Å, b = 6.5285 Å, c = 14.6114 Å, α = 90.00°, β = 108.35° and γ = 90.00°. The inequivalent atoms are Cu at (0.0000, 0.0040, 0.2500), Cu at (0.1210, 0.3744, 0.2469), Sn at (0.0872, 0.2512, 0.5108), S at (0.0482, 0.0692, 0.9004), S at (0.1198, 0.4016, 0.1000) and S at (0.2011, 0.4153, 0.3992).

The uncorrected formation energy is -122 meV per atom.